The following is a DFT calculation (GGA-PBE) of an optimized crystal structure of MgZr2As.

Unit cell a=6.8843 b=6.8843 c=6.8843 alpha=90.00 beta=90.00 gamma=90.00
Closest atoms and distances in Å follow each position.
Space group F-43m (No. 216)
Asymmetric unit:
Mg  0.0000  0.0000  0.0000 [4 per cell]  4 Zr 2.98, 4 As 2.98
Zr  0.0000  0.0000  0.5000 [4 per cell]  4 Zr 2.98, 4 As 2.98
Zr  0.2500  0.2500  0.7500 [4 per cell]  4 Zr 2.98, 4 Mg 2.98
As  0.2500  0.2500  0.2500 [4 per cell]  4 Zr 2.98, 4 Mg 2.98

Values from the calculation:
V: 326 Å³/cell
calculated formation energy: 101.4 meV per atom
offset from the most stable computed form: 605 meV per atom
total magnetization: 0.93 μB/f.u.